No. 1
Computed, not measured: CeInNi after structural relaxation at the GGA-PBEsol level of DFT.

energy of formation from the pure elements = -0.439 eV per atom
volume = 178.9 Å³/cell
energy = -5.685 eV per atom

Cell: 7.1674 7.1674 4.0223 Å, 90.00 90.00 120.00°
Space group P-62m (No. 189)
Inequivalent atoms, fractional coordinates:
Ce: 0.0000 0.4170 0.0000 [3 per cell]
In: 0.0000 0.7533 0.5000 [3 per cell]
Ni: 0.0000 0.0000 0.0000 [1 per cell]
Ni: 0.3333 0.6667 0.5000 [2 per cell]

No. 2
Computed, not measured: GeTeSeI2 after structural relaxation at the GGA-PBEsol level of DFT.

ΔE_f (raw) = 0.5360 eV per atom
volume = 167.3 Å³/cell
energy = -2.634 eV per atom

Cell: 5.420 5.420 5.695 Å, 90.00 90.00 90.00°
Space group P4/mmm (No. 123)
Inequivalent atoms, fractional coordinates:
Ge: 0.000 0.000 0.000 [1 per cell]
Te: 0.500 0.500 0.000 [1 per cell]
Se: 0.500 0.500 0.500 [1 per cell]
I: 0.000 0.500 0.500 [2 per cell]

No. 3
Computed, not measured: SrGa2BSb after structural relaxation at the GGA-PBEsol level of DFT.

ΔE_f (raw) = 1.8078 eV per atom
volume = 188.8 Å³/cell
energy = -2.211 eV per atom

Cell: 5.660 5.660 5.894 Å, 90.00 90.00 90.00°
Space group P4/mmm (No. 123)
Inequivalent atoms, fractional coordinates:
Sr: 0.000 0.000 0.000 [1 per cell]
Ga: 0.000 0.500 0.000 [2 per cell]
B: 0.500 0.500 0.500 [1 per cell]
Sb: 0.000 0.000 0.500 [1 per cell]

No. 4
Computed, not measured: HfMg2TlP after structural relaxation at the GGA-PBEsol level of DFT.

energy of formation from the pure elements = 1.421 eV per atom
volume = 162.6 Å³/cell
energy = -3.051 eV per atom

Cell: 5.498 5.498 5.379 Å, 90.00 90.00 90.00°
Space group P4/mmm (No. 123)
Inequivalent atoms, fractional coordinates:
Hf: 0.000 0.000 0.000 [1 per cell]
Mg: 0.000 0.500 0.000 [2 per cell]
Tl: 0.000 0.000 0.500 [1 per cell]
P: 0.500 0.500 0.500 [1 per cell]

No. 5
Computed, not measured: Tc3SnAs after structural relaxation at the GGA-PBEsol level of DFT.

energy of formation from the pure elements = 0.920 eV per atom
volume = 91.2 Å³/cell
energy = -7.713 eV per atom

Cell: 4.501 4.501 4.501 Å, 90.00 90.00 90.00°
Space group Pm-3m (No. 221)
Inequivalent atoms, fractional coordinates:
Tc: 0.000 0.000 0.500 [3 per cell]
Sn: 0.500 0.500 0.500 [1 per cell]
As: 0.000 0.000 0.000 [1 per cell]

No. 6
Computed, not measured: NaHfPCl2 after structural relaxation at the GGA-PBEsol level of DFT.

ΔE_f (raw) = 0.1548 eV per atom
volume = 106.6 Å³/cell
energy = -4.187 eV per atom

Cell: 4.452 4.452 5.379 Å, 90.00 90.00 90.00°
Space group P4/mmm (No. 123)
Inequivalent atoms, fractional coordinates:
Na: 0.000 0.000 0.000 [1 per cell]
Hf: 0.500 0.500 0.500 [1 per cell]
P: 0.000 0.000 0.500 [1 per cell]
Cl: 0.000 0.500 0.000 [2 per cell]

Look up the energy of the fourth one.
-3.051 eV per atom